1.
Material: MgPa2Ge3Ir6
Method: DFT, PBE
State: optimized geometry

Cell lengths 4.0022, 4.0022, 15.7525 Å; angles 90.00, 90.00, 90.00 degrees
Last column: nearest neighbours and their distance in Å.
Fractional coordinates of all 12 atoms:
Ir 0.0000 0.0000 0.1504  2 Ge 2.37-2.40
Ir 0.5000 0.0000 0.6150  2 Ge 2.39
Ir 0.0000 0.5000 0.6150  2 Ge 2.39
Ir 0.0000 0.5000 0.3850  2 Ge 2.39
Pa 0.5000 0.5000 0.2248  8 Ir 3.06-3.22, 4 Ge 3.08
Ir 0.0000 0.0000 0.8496  2 Ge 2.37-2.40
Pa 0.5000 0.5000 0.7752  8 Ir 3.06-3.22, 4 Ge 3.08
Mg 0.5000 0.5000 0.5000  8 Ir 2.70
Ge 0.0000 0.0000 0.6975  5 Ir 2.39-2.40
Ge 0.0000 0.0000 0.0000  2 Ir 2.37
Ge 0.0000 0.0000 0.3025  5 Ir 2.39-2.40
Ir 0.5000 0.0000 0.3850  2 Ge 2.39

Properties
Magnetization: 0.0 μB per formula unit
Calculated formation energy: -0.220 eV/atom
VASP energy: -7.52 eV per atom

---

2.
Material: LiHIO2
Method: DFT, PBE
State: optimized geometry

Cell lengths 4.2462, 4.2462, 3.4175 Å; angles 90.00, 90.00, 90.00 degrees
Last column: nearest neighbours and their distance in Å.
Fractional coordinates of all 5 atoms:
Li 0.5000 0.5000 0.5000  8 O 2.73, 4 I 3.00
H 0.0000 0.0000 0.0000  2 I 1.71
O 0.0000 0.5000 0.0000  2 H 2.12
O 0.5000 0.0000 0.0000  2 H 2.12
I 0.0000 0.0000 0.5000  2 H 1.71

Properties
Magnetization: 0.0 μB per formula unit
VASP energy: -2.92 eV per atom
Relative energy among the computed polymorphs: 0 meV/atom

---

3.
Material: KHgI4
Method: DFT, PBE
State: optimized geometry

Cell lengths 8.2121, 8.1700, 13.0098 Å; angles 90.00, 90.00, 116.96 degrees
Last column: nearest neighbours and their distance in Å.
Fractional coordinates of all 12 atoms:
I 0.4267 0.3191 0.7500  1 Hg 2.74
I 0.0149 0.5131 0.1215  1 Hg 3.04, 2 I 3.17-3.34
Hg 0.9400 0.7819 0.2500  4 I 2.73-3.04
I 0.0149 0.5131 0.3785  1 Hg 3.04, 2 I 3.17-3.34
K 0.3460 0.8611 0.7500  4 I 3.49-3.57
I 0.9851 0.4869 0.6215  1 Hg 3.04, 2 I 3.17-3.34
K 0.6540 0.1389 0.2500  4 I 3.49-3.57
I 0.7762 0.8722 0.7500  1 Hg 2.73
Hg 0.0600 0.2181 0.7500  4 I 2.73-3.04
I 0.2238 0.1278 0.2500  1 Hg 2.73
I 0.9851 0.4869 0.8785  1 Hg 3.04, 2 I 3.17-3.34
I 0.5733 0.6809 0.2500  1 Hg 2.74

Properties
Magnetization: 0.0 μB per formula unit
VASP energy: -1.84 eV per atom
E_form (uncorrected): -0.576 eV per atom

---

4.
Material: NbAl3S
Method: DFT, PBE
State: optimized geometry

Cell lengths 4.5428, 4.5428, 4.5428 Å; angles 90.00, 90.00, 90.00 degrees
Last column: nearest neighbours and their distance in Å.
Fractional coordinates of all 5 atoms:
Al 0.5000 0.0000 0.0000  2 S 2.27
Al 0.0000 0.5000 0.0000  2 S 2.27
Nb 0.5000 0.5000 0.5000  12 Al 3.21
Al 0.0000 0.0000 0.5000  2 S 2.27
S 0.0000 0.0000 0.0000  6 Al 2.27

Properties
Magnetization: 0.0 μB per formula unit
VASP energy: -4.54 eV per atom
Relative energy among the computed polymorphs: 0 meV/atom
E_form (uncorrected): 0.543 eV per atom

---

5.
Material: CsSr3Se
Method: DFT, PBE
State: optimized geometry

Cell lengths 6.3982, 6.3982, 6.3982 Å; angles 90.00, 90.00, 90.00 degrees
Last column: nearest neighbours and their distance in Å.
Fractional coordinates of all 5 atoms:
Sr 0.5000 0.0000 0.0000  2 Se 3.20
Sr 0.0000 0.0000 0.5000  2 Se 3.20
Sr 0.0000 0.5000 0.0000  2 Se 3.20
Cs 0.5000 0.5000 0.5000  12 Sr 4.52
Se 0.0000 0.0000 0.0000  6 Sr 3.20

Properties
Magnetization: 0.0 μB per formula unit
VASP energy: -2.41 eV per atom
Relative energy among the computed polymorphs: 0 meV/atom
E_form (uncorrected): -0.537 eV per atom

---

6.
Material: KZrO2F
Method: DFT, PBE
State: optimized geometry

Cell lengths 4.3788, 4.3788, 4.2063 Å; angles 90.00, 90.00, 90.00 degrees
Last column: nearest neighbours and their distance in Å.
Fractional coordinates of all 5 atoms:
O 0.5000 0.0000 0.0000  2 K 2.19
Zr 0.5000 0.5000 0.5000  8 O 3.04, 4 F 3.10
O 0.0000 0.5000 0.0000  2 K 2.19
K 0.0000 0.0000 0.0000  2 F 2.10, 4 O 2.19
F 0.0000 0.0000 0.5000  2 K 2.10

Properties
Magnetization: 0.0 μB per formula unit
VASP energy: -4.58 eV per atom
E_form (uncorrected): -0.294 eV per atom

---

7.
Material: La3CeAs4
Method: DFT, PBE
State: optimized geometry

Cell lengths 4.3388, 7.5170, 7.5170 Å; angles 109.43, 90.00, 90.00 degrees
Last column: nearest neighbours and their distance in Å.
Fractional coordinates of all 8 atoms:
As 0.5000 0.7540 0.2460  1 Ce 3.02, 5 La 3.07-3.12
As 0.5000 0.2460 0.7540  1 Ce 3.02, 5 La 3.07-3.12
As 0.0000 0.7569 0.7569  2 Ce 3.03, 4 La 3.07-3.11
Ce 0.5000 0.0000 0.0000  6 As 3.02-3.03
La 0.0000 0.0000 0.5000  6 As 3.07
As 0.0000 0.2431 0.2431  2 Ce 3.03, 4 La 3.07-3.11
La 0.5000 0.5000 0.5000  6 As 3.11-3.12
La 0.0000 0.5000 0.0000  6 As 3.07

Properties
Magnetization: 0.7 μB per formula unit
Calculated formation energy: -1.536 eV/atom
VASP energy: -6.45 eV per atom

---

8.
Material: NdEr14Pu
Method: DFT, PBE
State: optimized geometry

Cell lengths 7.0247, 7.0247, 9.8993 Å; angles 90.00, 90.00, 89.99 degrees
Last column: nearest neighbours and their distance in Å.
Fractional coordinates of all 16 atoms:
Er 0.1250 0.3750 0.0000  12 Er 3.50-3.51
Er 0.8774 0.1226 0.2498  10 Er 3.48-3.55, 1 Pu 3.49, 1 Nd 3.53
Er 0.3725 0.1225 0.2498  10 Er 3.48-3.55, 1 Pu 3.49, 1 Nd 3.53
Er 0.3725 0.1225 0.7502  10 Er 3.48-3.55, 1 Pu 3.49, 1 Nd 3.53
Er 0.1250 0.3750 0.5000  8 Er 3.51, 2 Nd 3.51, 2 Pu 3.51
Er 0.6250 0.3750 0.0000  12 Er 3.51-3.52
Er 0.8775 0.6275 0.2498  10 Er 3.48-3.55, 1 Pu 3.49, 1 Nd 3.53
Er 0.8775 0.6275 0.7502  10 Er 3.48-3.55, 1 Pu 3.49, 1 Nd 3.53
Er 0.8774 0.1226 0.7502  10 Er 3.48-3.55, 1 Pu 3.49, 1 Nd 3.53
Er 0.3726 0.6274 0.2498  10 Er 3.48-3.55, 1 Pu 3.49, 1 Nd 3.52
Nd 0.6249 0.3751 0.5000  12 Er 3.51-3.53
Pu 0.1250 0.8750 0.5000  12 Er 3.49-3.51
Er 0.6250 0.8750 0.5000  8 Er 3.51, 2 Nd 3.51, 2 Pu 3.51
Er 0.1251 0.8749 0.0000  12 Er 3.49-3.51
Er 0.3726 0.6274 0.7502  10 Er 3.48-3.55, 1 Pu 3.49, 1 Nd 3.52
Er 0.6250 0.8750 0.0000  12 Er 3.50-3.51

Properties
Magnetization: 6.2 μB per formula unit
Calculated formation energy: 0.041 eV/atom
VASP energy: -5.15 eV per atom

---

9.
Material: Ca2Sn2Os
Method: DFT, PBE
State: optimized geometry

Cell lengths 3.9383, 3.9383, 9.4286 Å; angles 77.95, 77.95, 90.00 degrees
Last column: nearest neighbours and their distance in Å.
Fractional coordinates of all 5 atoms:
Sn 0.2500 0.7500 0.5000  4 Sn 2.78
Ca 0.4122 0.4122 0.1757  1 Ca 3.16, 4 Os 3.20, 4 Sn 3.52
Os 0.0000 0.0000 0.0000  8 Ca 3.20
Ca 0.5878 0.5878 0.8243  1 Ca 3.16, 4 Os 3.20, 4 Sn 3.52
Sn 0.7500 0.2500 0.5000  4 Sn 2.78

Properties
Magnetization: 0.3 μB per formula unit
Calculated formation energy: 0.489 eV/atom
VASP energy: -4.16 eV per atom
Relative energy among the computed polymorphs: 663 meV/atom

---

10.
Material: LaTb2H
Method: DFT, PBE
State: optimized geometry

Cell lengths 3.3743, 3.3743, 8.7667 Å; angles 90.00, 90.00, 90.00 degrees
Last column: nearest neighbours and their distance in Å.
Fractional coordinates of all 4 atoms:
La 0.5000 0.5000 0.5000  4 La 3.37, 8 Tb 3.66
H 0.5000 0.5000 0.0000  8 Tb 2.87
Tb 0.0000 0.0000 0.8172  4 H 2.87, 1 Tb 3.21
Tb 0.0000 0.0000 0.1828  4 H 2.87, 1 Tb 3.21

Properties
Magnetization: 0.0 μB per formula unit
VASP energy: -4.24 eV per atom
Relative energy among the computed polymorphs: 215 meV/atom

---

11.
Material: Rb2NbTlO4
Method: DFT, PBE
State: optimized geometry

Cell lengths 6.2551, 6.2551, 6.2551 Å; angles 102.50, 113.06, 113.06 degrees
Last column: nearest neighbours and their distance in Å.
Fractional coordinates of all 8 atoms:
Tl 0.5000 0.2500 0.7500  4 O 2.69
O 0.0120 0.2092 0.5256  1 Nb 1.89
Nb 0.0000 0.5000 0.5000  4 O 1.89
Rb 0.0000 0.0000 0.0000  8 O 3.22-3.51
O 0.6837 0.4744 0.4864  1 Nb 1.89
Rb 0.5000 0.7500 0.2500  4 O 2.79
O 0.3163 0.8028 0.7908  1 Nb 1.89
O 0.9880 0.5136 0.1972  1 Nb 1.89

Properties
Magnetization: 0.0 μB per formula unit
VASP energy: -6.18 eV per atom
E_form (uncorrected): -1.904 eV per atom

---

12.
Material: RbPr2US5
Method: DFT, PBE
State: optimized geometry

Cell lengths 5.0593, 7.2975, 8.2953 Å; angles 116.09, 107.76, 90.00 degrees
Last column: nearest neighbours and their distance in Å.
Fractional coordinates of all 9 atoms:
S 0.3499 0.0848 0.6999  1 U 2.71, 1 Pr 2.81
Pr 0.7951 0.7951 0.5901  3 S 2.81-2.87
S 0.3499 0.6150 0.6999  1 U 2.71, 1 Pr 2.81
Pr 0.2049 0.2049 0.4099  3 S 2.81-2.87
S 0.0000 0.0000 0.0000  2 U 2.53
S 0.6501 0.9152 0.3001  1 U 2.71, 1 Pr 2.81
Rb 0.0000 0.5000 0.0000  10 S 3.65-3.82
S 0.6501 0.3850 0.3001  1 U 2.71, 1 Pr 2.81
U 0.5000 0.0000 0.0000  6 S 2.53-2.71

Properties
Magnetization: 2.5 μB per formula unit
VASP energy: -6.38 eV per atom
E_form (uncorrected): -1.665 eV per atom